1.
Density functional theory data (GGA-PBEsol) for a relaxed Li2AlPb crystal.

Geometry as POSCAR:
```
Li2AlPb
1.0
4.6953 0.0000 0.0000
2.3476 4.0662 0.0000
2.3476 1.3554 3.8337
Li Al Pb
2 1 1
Direct
0.2500 0.2500 0.2500
0.7500 0.7500 0.7500
0.0000 0.0000 0.0000
0.5000 0.5000 0.5000
```

Computed properties:
Calculated formation energy (eV/f.u.): -0.64

2.
Density functional theory data (GGA-PBEsol) for a relaxed LaMgAuI2 crystal.

Geometry as POSCAR:
```
LaMgAuI2
1.0
-0.6724 4.1071 3.7741
-5.5676 -1.1765 0.2884
1.0011 -3.7056 4.2109
Au I La Mg
1 2 1 1
Direct
0.0000 0.0000 0.0000
0.0000 0.0000 0.5000
0.0000 0.5000 0.0000
0.5000 0.0000 0.0000
0.5000 0.5000 0.5000
```

3.
Density functional theory data (GGA-PBEsol) for a relaxed KScH4C4O10 crystal.

Geometry as POSCAR:
```
KScH4C4O10
1.0
8.7570 0.0000 0.0000
-4.3785 7.5838 0.0000
0.0000 0.0000 11.6090
O H C Sc K
30 12 12 3 3
Direct
0.7696 0.0000 0.1667
0.2648 0.3446 0.0998
0.2428 0.6932 0.2258
0.6932 0.2428 0.7742
0.7352 0.0798 0.5669
0.2428 0.5496 0.4408
0.2648 0.9202 0.5669
0.3446 0.2648 0.9002
0.7696 0.7696 0.5000
0.7572 0.3068 0.2258
0.7572 0.4504 0.4408
0.6932 0.4504 0.8925
0.0000 0.2304 0.8333
0.3068 0.7572 0.7742
0.2304 0.2304 0.5000
0.0798 0.7352 0.4331
0.9202 0.2648 0.4331
0.2304 0.0000 0.1667
0.7352 0.6554 0.0998
0.4504 0.7572 0.5592
0.3068 0.5496 0.8925
0.6554 0.9202 0.7664
0.5496 0.2428 0.5592
0.5496 0.3068 0.1075
0.0000 0.7696 0.8333
0.9202 0.6554 0.2336
0.3446 0.0798 0.7664
0.0798 0.3446 0.2336
0.6554 0.7352 0.9002
0.4504 0.6932 0.1075
0.8993 0.2473 0.8150
0.2473 0.8993 0.1850
0.8993 0.6520 0.8516
0.3480 0.2473 0.5183
0.1007 0.7527 0.8150
0.7527 0.6520 0.4817
0.2473 0.3480 0.4817
0.3480 0.1007 0.1484
0.6520 0.7527 0.5183
0.6520 0.8993 0.1484
0.1007 0.3480 0.8516
0.7527 0.1007 0.1850
0.7900 0.2100 0.5000
0.5800 0.7900 0.8333
0.6211 0.3105 0.8333
0.6895 0.3789 0.1667
0.3789 0.6895 0.8333
0.2100 0.7900 0.5000
0.2100 0.4200 0.1667
0.7900 0.5800 0.1667
0.3105 0.6895 0.5000
0.4200 0.2100 0.8333
0.6895 0.3105 0.5000
0.3105 0.6211 0.1667
0.5000 0.0000 0.6667
0.0000 0.5000 0.3333
0.5000 0.5000 0.0000
0.0000 0.0000 0.3333
0.0000 0.0000 0.0000
0.0000 0.0000 0.6667
```

4.
Density functional theory data (GGA-PBEsol) for a relaxed La3SnC crystal.

Geometry as POSCAR:
```
La3SnC
1.0
-1.5563 4.8273 0.8727
-4.6786 -1.7360 1.2589
1.4751 -0.4127 4.9133
La Sn C
3 1 1
Direct
0.0000 0.5000 0.0000
0.0000 0.0000 0.5000
0.5000 0.0000 0.0000
0.5000 0.5000 0.5000
0.0000 0.0000 0.0000
```

Computed properties:
Calculated formation energy (eV/f.u.): -2.45

5.
Density functional theory data (GGA-PBEsol) for a relaxed CaMnIr crystal.

Geometry as POSCAR:
```
CaMnIr
1.0
3.8957 0.0000 0.0000
-1.9478 3.3738 0.0000
0.0000 0.0000 4.5597
Ir Mn Ca
1 1 1
Direct
0.6667 0.3333 0.5000
0.3333 0.6667 0.5000
0.0000 0.0000 0.0000
```

Computed properties:
Calculated formation energy (eV/f.u.): 0.43
Excess energy over the best structure of this formula in the dataset (eV/atom): 0.026

6.
Density functional theory data (GGA-PBEsol) for a relaxed Cd3Au crystal.

Geometry as POSCAR:
```
Cd3Au
1.0
-0.7461 4.0189 -1.1533
-3.6242 -1.1970 -1.8266
-2.0709 0.6574 3.6309
Cd Au
3 1
Direct
0.0000 0.5000 0.5000
0.5000 0.5000 0.0000
0.5000 0.0000 0.5000
0.0000 0.0000 0.0000
```

Computed properties:
Calculated formation energy (eV/f.u.): -0.39

7.
Density functional theory data (GGA-PBEsol) for a relaxed YHg2Rh crystal.

Geometry as POSCAR:
```
YHg2Rh
1.0
-0.6077 -2.1292 -2.6736
3.4117 -0.5412 -0.3444
-0.3968 -5.1881 4.2220
Hg Rh Y
2 1 1
Direct
0.5000 0.5000 0.2684
0.0000 0.0000 0.0142
0.0000 0.0000 0.4980
0.5000 0.5000 0.7193
```

Computed properties:
Calculated formation energy (eV/f.u.): -1.45

8.
Density functional theory data (GGA-PBEsol) for a relaxed RbBaHf2 crystal.

Geometry as POSCAR:
```
RbBaHf2
1.0
-5.0947 2.2050 0.7355
-4.5001 -3.3303 0.1307
-2.7374 -0.8203 4.8160
Rb Ba Hf
1 1 2
Direct
0.0000 0.0000 0.0000
0.5000 0.5000 0.5000
0.2500 0.2500 0.2500
0.7500 0.7500 0.7500
```

Computed properties:
Calculated formation energy (eV/f.u.): 6.02

9.
Density functional theory data (GGA-PBEsol) for a relaxed CaHf2Nb crystal.

Geometry as POSCAR:
```
CaHf2Nb
1.0
4.9570 0.0000 0.0000
2.4785 4.2929 0.0000
2.4785 1.4310 4.0474
Hf Nb Ca
2 1 1
Direct
0.7500 0.7500 0.7500
0.2500 0.2500 0.2500
0.5000 0.5000 0.5000
0.0000 0.0000 0.0000
```

Computed properties:
Calculated formation energy (eV/f.u.): 1.86

10.
Density functional theory data (GGA-PBEsol) for a relaxed ScCo2Hg crystal.

Geometry as POSCAR:
```
ScCo2Hg
1.0
-1.6148 -2.6603 0.8148
0.0622 -1.1736 -3.7087
5.0450 -0.9949 0.3995
Co Sc Hg
2 1 1
Direct
0.8158 0.0000 0.6317
0.7005 0.5000 0.4009
0.4167 0.5000 0.8333
0.0903 0.0000 0.1806
```

Computed properties:
Calculated formation energy (eV/f.u.): -0.01

11.
Density functional theory data (GGA-PBEsol) for a relaxed SbMoPd3 crystal.

Geometry as POSCAR:
```
SbMoPd3
1.0
4.8018 0.0000 0.0000
0.0000 4.8018 0.0000
0.0000 0.0000 4.8018
Sb Pd Mo
1 3 1
Direct
0.0000 0.0000 0.0000
0.0000 0.5000 0.0000
0.5000 0.0000 0.0000
0.0000 0.0000 0.5000
0.5000 0.5000 0.5000
```

12.
Density functional theory data (GGA-PBEsol) for a relaxed LuMgTiS4 crystal.

Geometry as POSCAR:
```
LuMgTiS4
1.0
7.2530 0.0000 0.0000
3.6265 6.5289 0.0155
3.6265 2.0900 6.1854
S Lu Mg Ti
8 2 2 2
Direct
0.2515 0.2726 0.2245
0.2515 0.7245 0.7726
0.7485 0.7274 0.7755
0.2708 0.7323 0.2323
0.7645 0.7323 0.2323
0.2355 0.2677 0.7677
0.7485 0.2755 0.2274
0.7292 0.2677 0.7677
0.5000 0.5000 0.5000
0.5000 0.0000 0.0000
0.1297 0.1203 0.6203
0.8703 0.8797 0.3797
0.0000 0.5000 0.0000
0.5000 0.5000 0.0000
```

13.
Density functional theory data (GGA-PBEsol) for a relaxed AlCd2Co crystal.

Geometry as POSCAR:
```
AlCd2Co
1.0
-1.0295 1.2235 -4.1721
-1.8295 -2.9552 -2.8077
-4.2795 0.4234 -1.2123
Cd Al Co
2 1 1
Direct
0.7500 0.7500 0.7500
0.0000 0.0000 0.0000
0.5000 0.5000 0.5000
0.2500 0.2500 0.2500
```

Computed properties:
Calculated formation energy (eV/f.u.): 0.79

14.
Density functional theory data (GGA-PBEsol) for a relaxed SrAlFe crystal.

Geometry as POSCAR:
```
SrAlFe
1.0
-1.3861 3.7081 2.9424
-0.2008 -0.6691 4.8827
3.3081 2.1937 2.9280
Sr Al Fe
1 1 1
Direct
0.7500 0.7500 0.7500
0.0000 0.0000 0.0000
0.5000 0.5000 0.5000
```

Computed properties:
Calculated formation energy (eV/f.u.): 4.08

15.
Density functional theory data (GGA-PBEsol) for a relaxed CaScPb2 crystal.

Geometry as POSCAR:
```
CaScPb2
1.0
-1.9631 -0.6576 -2.7361
4.4084 -2.0547 -2.6691
-2.0446 -4.4858 2.5451
Pb Ca Sc
2 1 1
Direct
0.0000 0.0000 0.5000
0.0000 0.5000 0.0000
0.5000 0.5000 0.5000
0.5000 0.0000 0.0000
```

Computed properties:
Calculated formation energy (eV/f.u.): -1.70

16.
Density functional theory data (GGA-PBEsol) for a relaxed Co3SbIr crystal.

Geometry as POSCAR:
```
Co3SbIr
1.0
-1.7261 3.9080 -1.2114
-4.0885 -1.5970 0.6736
0.1571 1.3772 4.2188
Co Sb Ir
3 1 1
Direct
0.5000 0.0000 0.0000
0.0000 0.5000 0.0000
0.0000 0.0000 0.5000
0.0000 0.0000 0.0000
0.5000 0.5000 0.5000
```

17.
Density functional theory data (GGA-PBEsol) for a relaxed Ga3TeN crystal.

Geometry as POSCAR:
```
Ga3TeN
1.0
5.4297 0.0000 0.0000
0.0000 5.4297 0.0000
0.0000 0.0000 5.4297
Ga Te N
3 1 1
Direct
0.5000 0.0000 0.0000
0.0000 0.0000 0.5000
0.0000 0.5000 0.0000
0.0000 0.0000 0.0000
0.5000 0.5000 0.5000
```

18.
Density functional theory data (GGA-PBEsol) for a relaxed ZrHg4Te crystal.

Geometry as POSCAR:
```
ZrHg4Te
1.0
-2.7507 -1.3207 -4.9379
-4.8628 -3.1664 0.1440
-5.1083 2.4688 -1.2264
Hg Te Zr
4 1 1
Direct
0.8761 0.3746 0.3746
0.3746 0.3746 0.8761
0.3746 0.8761 0.3746
0.3746 0.3746 0.3746
0.7500 0.7500 0.7500
0.0000 0.0000 0.0000
```

19.
Density functional theory data (GGA-PBEsol) for a relaxed Na6Fe2B4AsO16 crystal.

Geometry as POSCAR:
```
Na6Fe2B4AsO16
1.0
9.7156 0.0000 0.0000
4.8578 8.4139 0.0000
4.8578 2.8046 7.9327
Na B O As Fe
12 8 32 2 4
Direct
0.4629 0.0371 0.0371
0.2129 0.2129 0.7871
0.7871 0.2129 0.2129
0.2129 0.7871 0.2129
0.7871 0.2129 0.7871
0.4629 0.4629 0.0371
0.4629 0.0371 0.4629
0.7871 0.7871 0.2129
0.0371 0.0371 0.4629
0.0371 0.4629 0.0371
0.0371 0.4629 0.4629
0.2129 0.7871 0.7871
0.5017 0.8328 0.8328
0.8328 0.8328 0.5017
0.8328 0.5017 0.8328
0.4172 0.4172 0.4172
0.7483 0.4172 0.4172
0.4172 0.4172 0.7483
0.8328 0.8328 0.8328
0.4172 0.7483 0.4172
0.2594 0.5378 0.4477
0.1781 0.1781 0.4657
0.8023 0.9906 0.7122
0.4657 0.1781 0.1781
0.7122 0.9906 0.4950
0.5378 0.2594 0.7550
0.7122 0.4950 0.8023
0.1781 0.1781 0.1781
0.9906 0.4950 0.7122
0.4477 0.5378 0.7550
0.0719 0.0719 0.7843
0.4477 0.2594 0.5378
0.9906 0.8023 0.4950
0.2594 0.7550 0.5378
0.7550 0.5378 0.2594
0.2594 0.4477 0.7550
0.1781 0.4657 0.1781
0.7843 0.0719 0.0719
0.8023 0.4950 0.9906
0.4950 0.9906 0.8023
0.7550 0.2594 0.4477
0.4950 0.8023 0.7122
0.4950 0.7122 0.9906
0.8023 0.7122 0.4950
0.5378 0.7550 0.4477
0.5378 0.4477 0.2594
0.7550 0.4477 0.5378
0.4477 0.7550 0.2594
0.0719 0.7843 0.0719
0.7122 0.8023 0.9906
0.9906 0.7122 0.8023
0.0719 0.0719 0.0719
0.2500 0.2500 0.2500
0.0000 0.0000 0.0000
0.6250 0.6250 0.1250
0.6250 0.1250 0.6250
0.6250 0.6250 0.6250
0.1250 0.6250 0.6250
```

20.
Density functional theory data (GGA-PBEsol) for a relaxed Li2La2Bi crystal.

Geometry as POSCAR:
```
Li2La2Bi
1.0
4.9708 0.0000 0.0000
0.0000 7.1333 0.0000
0.0000 0.0000 7.1333
La Li Bi
4 4 2
Direct
0.5000 0.1686 0.6686
0.5000 0.8314 0.3314
0.5000 0.6686 0.8314
0.5000 0.3314 0.1686
0.0000 0.1344 0.3656
0.0000 0.3656 0.8656
0.0000 0.8656 0.6344
0.0000 0.6344 0.1344
0.0000 0.0000 0.0000
0.0000 0.5000 0.5000
```

Computed properties:
Calculated formation energy (eV/f.u.): -1.80

no.,Fermi-level density of states (states/eV per cell),energy (eV/atom)
1,1.00,-3.165
2,4.02,-2.907
3,0.00,-7.124
4,2.84,-6.478
5,2.49,-7.097
6,1.26,-1.975
7,1.95,-4.386
8,6.53,-4.540
9,4.93,-8.025
10,4.48,-5.665
11,4.43,-5.726
12,6.42,-6.247
13,2.72,-3.358
14,7.02,-3.605
15,2.77,-4.609
16,9.57,-5.703
17,4.30,-2.731
18,5.64,-2.289
19,23.72,-6.749
20,6.91,-4.143